# 1
Ac12PrSn7 (PBE-GGA, relaxed); energy of formation = -0.388 eV per atom; DOS at the Fermi energy = 1.0948 states/eV per atom; VASP energy = -89.85 eV per formula unit
1.0
-8.185 -5.976 -1.319
6.421 -0.879 -7.903
4.741 -2.258 8.768
Ac Pr Sn
12 1 7
direct
0.000 0.269 0.731
0.731 0.269 0.000
0.485 0.167 0.484
0.833 0.516 0.515
0.269 0.000 0.731
0.516 0.515 0.833
0.484 0.485 0.167
0.731 0.000 0.269
0.167 0.484 0.485
0.515 0.833 0.516
0.269 0.731 0.000
0.000 0.731 0.269
0.000 0.000 0.000
0.864 0.548 0.864
0.452 0.136 0.136
0.136 0.136 0.452
0.500 0.500 0.500
0.864 0.864 0.548
0.548 0.864 0.864
0.136 0.452 0.136

=====

# 2
AcPrSn (PBE-GGA, relaxed); energy of formation = -0.449 eV per atom; DOS at the Fermi energy = 1.0278 states/eV per atom; energy above the lowest structure with this stoichiometry = 12.9 kJ/mol of atoms; VASP energy = -14.24 eV per formula unit
1.0
4.350 0.010 0.003
-0.016 8.656 0.093
-2.170 -2.178 5.255
Ac Pr Sn
2 2 2
direct
0.278 0.464 0.324
0.600 0.640 0.965
0.588 0.121 0.944
0.289 0.983 0.345
0.938 0.291 0.644
0.939 0.813 0.645

=====

# 3
AcPr2Sn (PBE-GGA, relaxed); energy of formation = -0.173 eV per atom; DOS at the Fermi energy = 1.3343 states/eV per atom; energy above the lowest structure with this stoichiometry = 22.0 kJ/mol of atoms; VASP energy = -18.36 eV per formula unit
1.0
-2.918 -0.762 -2.795
-1.335 -3.846 -0.583
-8.577 -0.124 5.964
Ac Pr Sn
1 2 1
direct
0.501 0.501 0.498
0.069 0.069 0.793
0.264 0.264 0.207
0.666 0.666 0.001